1.
# Ba2LuCu3O6 | Alexandria via LeMat-Bulk | PBE | optimized geometry
# * D(E_F): 0.529 states/eV per atom
# * uncorrected formation energy: -1894 meV/atom
data_Ba2LuCu3O6
_chemical_formula_sum 'Ba2 Lu1 Cu3 O6'
_space_group_name_H-M_alt 'P 1'
_space_group_IT_number 1
_cell_length_a 3.855
_cell_length_b 3.855
_cell_length_c 12.137
_cell_angle_alpha 90.00
_cell_angle_beta 90.00
_cell_angle_gamma 90.00
loop_
_space_group_symop_operation_xyz
'x,y,z'
loop_
_atom_site_label
_atom_site_fract_x
_atom_site_fract_y
_atom_site_fract_z
Ba1 0.000 0.000 0.197
Ba2 0.000 0.000 0.803
Lu1 0.000 0.000 0.500
Cu1 0.500 0.500 0.000
Cu2 0.500 0.500 0.372
Cu3 0.500 0.500 0.628
O1 0.000 0.500 0.386
O2 0.000 0.500 0.614
O3 0.500 0.000 0.386
O4 0.500 0.000 0.614
O5 0.500 0.500 0.150
O6 0.500 0.500 0.850

***

2.
# PmZrU2N4 | Alexandria via LeMat-Bulk | PBE | optimized geometry
# * D(E_F): 1.187 states/eV per atom
# * uncorrected formation energy: -1444 meV/atom
data_PmZrU2N4
_chemical_formula_sum 'Pm1 Zr1 U2 N4'
_space_group_name_H-M_alt 'P 1'
_space_group_IT_number 1
_cell_length_a 5.953
_cell_length_b 3.419
_cell_length_c 5.972
_cell_angle_alpha 90.00
_cell_angle_beta 109.34
_cell_angle_gamma 90.00
loop_
_space_group_symop_operation_xyz
'x,y,z'
loop_
_atom_site_label
_atom_site_fract_x
_atom_site_fract_y
_atom_site_fract_z
Pm1 0.000 0.000 0.000
Zr1 0.000 0.500 0.500
U1 0.500 0.000 0.500
U2 0.500 0.500 0.000
N1 0.252 0.000 0.734
N2 0.265 0.500 0.275
N3 0.735 0.500 0.725
N4 0.748 0.000 0.266

***

3.
# RbLa2CdIr | Alexandria via LeMat-Bulk | PBE | optimized geometry
# * D(E_F): 0.938 states/eV per atom
# * energy of formation: -0.18 eV per atom
data_RbLa2CdIr
_chemical_formula_sum 'Rb1 La2 Cd1 Ir1'
_space_group_name_H-M_alt 'P 1'
_space_group_IT_number 1
_cell_length_a 5.619
_cell_length_b 5.619
_cell_length_c 5.581
_cell_angle_alpha 90.00
_cell_angle_beta 90.00
_cell_angle_gamma 90.00
loop_
_space_group_symop_operation_xyz
'x,y,z'
loop_
_atom_site_label
_atom_site_fract_x
_atom_site_fract_y
_atom_site_fract_z
Rb1 0.000 0.000 0.000
La1 0.000 0.500 0.500
La2 0.500 0.000 0.500
Cd1 0.500 0.500 0.000
Ir1 0.500 0.500 0.500

***

4.
# LiAg2As | Alexandria via LeMat-Bulk | PBE | optimized geometry
# * D(E_F): 0.241 states/eV per atom
# * energy of formation: -0.02 eV per atom
data_LiAg2As
_chemical_formula_sum 'Li4 Ag8 As4'
_space_group_name_H-M_alt 'P 1'
_space_group_IT_number 1
_cell_length_a 4.070
_cell_length_b 4.070
_cell_length_c 18.254
_cell_angle_alpha 90.00
_cell_angle_beta 90.00
_cell_angle_gamma 90.00
loop_
_space_group_symop_operation_xyz
'x,y,z'
loop_
_atom_site_label
_atom_site_fract_x
_atom_site_fract_y
_atom_site_fract_z
Li1 0.000 0.000 0.000
Li2 0.000 0.500 0.250
Li3 0.500 0.000 0.750
Li4 0.500 0.500 0.500
Ag1 0.242 0.250 0.625
Ag2 0.250 0.742 0.875
Ag3 0.250 0.758 0.375
Ag4 0.258 0.250 0.125
Ag5 0.742 0.750 0.125
Ag6 0.750 0.242 0.375
Ag7 0.750 0.258 0.875
Ag8 0.758 0.750 0.625
As1 0.000 0.000 0.500
As2 0.000 0.500 0.750
As3 0.500 0.000 0.250
As4 0.500 0.500 0.000

***

5.
# Sm4MgPd | Alexandria via LeMat-Bulk | PBE | optimized geometry
# * D(E_F): 0.963 states/eV per atom
# * E above lowest polymorph: 0.000 eV per atom
# * energy of formation: -0.33 eV per atom
data_Sm4MgPd
_chemical_formula_sum 'Sm16 Mg4 Pd4'
_space_group_name_H-M_alt 'P 1'
_space_group_IT_number 1
_cell_length_a 9.972
_cell_length_b 9.972
_cell_length_c 9.972
_cell_angle_alpha 60.00
_cell_angle_beta 60.00
_cell_angle_gamma 60.00
loop_
_space_group_symop_operation_xyz
'x,y,z'
loop_
_atom_site_label
_atom_site_fract_x
_atom_site_fract_y
_atom_site_fract_z
Sm1 0.059 0.059 0.441
Sm2 0.059 0.441 0.059
Sm3 0.059 0.441 0.441
Sm4 0.184 0.184 0.816
Sm5 0.184 0.816 0.184
Sm6 0.184 0.816 0.816
Sm7 0.201 0.600 0.600
Sm8 0.441 0.059 0.059
Sm9 0.441 0.059 0.441
Sm10 0.441 0.441 0.059
Sm11 0.600 0.201 0.600
Sm12 0.600 0.600 0.201
Sm13 0.600 0.600 0.600
Sm14 0.816 0.184 0.184
Sm15 0.816 0.184 0.816
Sm16 0.816 0.816 0.184
Mg1 0.512 0.829 0.829
Mg2 0.829 0.512 0.829
Mg3 0.829 0.829 0.512
Mg4 0.829 0.829 0.829
Pd1 0.393 0.393 0.393
Pd2 0.393 0.393 0.820
Pd3 0.393 0.820 0.393
Pd4 0.820 0.393 0.393

***

6.
# SrZn3Hg | Alexandria via LeMat-Bulk | PBE | optimized geometry
# * D(E_F): 0.918 states/eV per atom
# * E above lowest polymorph: 0.900 eV per atom
# * energy of formation: 0.65 eV per atom
data_SrZn3Hg
_chemical_formula_sum 'Sr1 Zn3 Hg1'
_space_group_name_H-M_alt 'P 1'
_space_group_IT_number 1
_cell_length_a 6.385
_cell_length_b 6.385
_cell_length_c 6.385
_cell_angle_alpha 90.00
_cell_angle_beta 90.00
_cell_angle_gamma 90.00
loop_
_space_group_symop_operation_xyz
'x,y,z'
loop_
_atom_site_label
_atom_site_fract_x
_atom_site_fract_y
_atom_site_fract_z
Sr1 0.000 0.000 0.000
Zn1 0.000 0.000 0.500
Zn2 0.000 0.500 0.000
Zn3 0.500 0.000 0.000
Hg1 0.500 0.500 0.500

***

7.
# Li3LaFe | Alexandria via LeMat-Bulk | PBE | optimized geometry
# * D(E_F): 2.120 states/eV per atom
# * E above lowest polymorph: 1.242 eV per atom
# * energy of formation: 1.91 eV per atom
data_Li3LaFe
_chemical_formula_sum 'Li3 La1 Fe1'
_space_group_name_H-M_alt 'P 1'
_space_group_IT_number 1
_cell_length_a 4.993
_cell_length_b 4.993
_cell_length_c 4.993
_cell_angle_alpha 90.00
_cell_angle_beta 90.00
_cell_angle_gamma 90.00
loop_
_space_group_symop_operation_xyz
'x,y,z'
loop_
_atom_site_label
_atom_site_fract_x
_atom_site_fract_y
_atom_site_fract_z
Li1 0.000 0.000 0.500
Li2 0.000 0.500 0.000
Li3 0.500 0.000 0.000
La1 0.000 0.000 0.000
Fe1 0.500 0.500 0.500

***

8.
# In2TeBr | Alexandria via LeMat-Bulk | PBE | optimized geometry
# * D(E_F): 0.195 states/eV per atom
# * E above lowest polymorph: 0.001 eV per atom
# * uncorrected formation energy: -418 meV/atom
data_In2TeBr
_chemical_formula_sum 'In4 Te2 Br2'
_space_group_name_H-M_alt 'P 1'
_space_group_IT_number 1
_cell_length_a 5.851
_cell_length_b 4.617
_cell_length_c 10.066
_cell_angle_alpha 90.00
_cell_angle_beta 94.73
_cell_angle_gamma 90.00
loop_
_space_group_symop_operation_xyz
'x,y,z'
loop_
_atom_site_label
_atom_site_fract_x
_atom_site_fract_y
_atom_site_fract_z
In1 0.000 0.000 0.000
In2 0.035 0.500 0.717
In3 0.480 0.000 0.394
In4 0.516 0.500 0.112
Te1 0.028 0.500 0.195
Te2 0.488 0.000 0.917
Br1 0.003 0.000 0.520
Br2 0.512 0.500 0.591

***

9.
# AlCd3Ru | Alexandria via LeMat-Bulk | PBE | optimized geometry
# * D(E_F): 0.462 states/eV per atom
# * E above lowest polymorph: 0.000 eV per atom
# * energy of formation: 0.71 eV per atom
data_AlCd3Ru
_chemical_formula_sum 'Al1 Cd3 Ru1'
_space_group_name_H-M_alt 'P 1'
_space_group_IT_number 1
_cell_length_a 5.178
_cell_length_b 5.178
_cell_length_c 5.178
_cell_angle_alpha 90.00
_cell_angle_beta 90.00
_cell_angle_gamma 90.00
loop_
_space_group_symop_operation_xyz
'x,y,z'
loop_
_atom_site_label
_atom_site_fract_x
_atom_site_fract_y
_atom_site_fract_z
Al1 0.000 0.000 0.000
Cd1 0.000 0.500 0.500
Cd2 0.500 0.000 0.500
Cd3 0.500 0.500 0.000
Ru1 0.500 0.500 0.500

***

10.
# Ag2Pt | Alexandria via LeMat-Bulk | PBE | optimized geometry
# * D(E_F): 0.459 states/eV per atom
# * E above lowest polymorph: 0.388 eV per atom
# * energy of formation: 0.37 eV per atom
data_Ag2Pt
_chemical_formula_sum 'Ag8 Pt4'
_space_group_name_H-M_alt 'P 1'
_space_group_IT_number 1
_cell_length_a 6.281
_cell_length_b 6.281
_cell_length_c 6.281
_cell_angle_alpha 90.00
_cell_angle_beta 90.00
_cell_angle_gamma 90.00
loop_
_space_group_symop_operation_xyz
'x,y,z'
loop_
_atom_site_label
_atom_site_fract_x
_atom_site_fract_y
_atom_site_fract_z
Ag1 0.250 0.250 0.250
Ag2 0.250 0.250 0.750
Ag3 0.250 0.750 0.250
Ag4 0.250 0.750 0.750
Ag5 0.750 0.250 0.250
Ag6 0.750 0.250 0.750
Ag7 0.750 0.750 0.250
Ag8 0.750 0.750 0.750
Pt1 0.000 0.000 0.000
Pt2 0.000 0.500 0.500
Pt3 0.500 0.000 0.500
Pt4 0.500 0.500 0.000

***

11.
# Be2AsCl | Alexandria via LeMat-Bulk | PBE | optimized geometry
# * E above lowest polymorph: 0.314 eV per atom
# * uncorrected formation energy: -100 meV/atom
data_Be2AsCl
_chemical_formula_sum 'Be4 As2 Cl2'
_space_group_name_H-M_alt 'P 1'
_space_group_IT_number 1
_cell_length_a 11.298
_cell_length_b 3.426
_cell_length_c 4.868
_cell_angle_alpha 90.00
_cell_angle_beta 90.04
_cell_angle_gamma 90.00
loop_
_space_group_symop_operation_xyz
'x,y,z'
loop_
_atom_site_label
_atom_site_fract_x
_atom_site_fract_y
_atom_site_fract_z
Be1 0.000 0.000 0.000
Be2 0.197 0.000 0.012
Be3 0.500 0.500 0.000
Be4 0.697 0.500 0.012
As1 0.101 0.500 0.842
As2 0.601 0.000 0.842
Cl1 0.351 0.000 0.193
Cl2 0.851 0.500 0.193

***

12.
# Cd2PAu | Alexandria via LeMat-Bulk | PBE | optimized geometry
# * D(E_F): 0.242 states/eV per atom
# * energy of formation: -0.03 eV per atom
data_Cd2PAu
_chemical_formula_sum 'Cd4 P2 Au2'
_space_group_name_H-M_alt 'P 1'
_space_group_IT_number 1
_cell_length_a 4.560
_cell_length_b 5.985
_cell_length_c 6.612
_cell_angle_alpha 87.62
_cell_angle_beta 73.95
_cell_angle_gamma 85.45
loop_
_space_group_symop_operation_xyz
'x,y,z'
loop_
_atom_site_label
_atom_site_fract_x
_atom_site_fract_y
_atom_site_fract_z
Cd1 0.000 0.000 0.000
Cd2 0.000 0.500 0.000
Cd3 0.473 0.287 0.314
Cd4 0.527 0.713 0.686
P1 0.079 0.821 0.490
P2 0.921 0.179 0.510
Au1 0.451 0.757 0.148
Au2 0.549 0.243 0.852

***

Q: Which spin magnetization values were calculated for the entries above? A: 0.0, 2.7, 0.0, 0.0, 0.0, 0.0, 1.5, 0.0, 0.0, 0.0, 0.0, 0.0, in μB per formula unit.